Record 1
A relaxed structure of La2GaPd3, computed with PBE-GGA.

Cell and atoms, written as CIF:
```
data_La2GaPd3
_symmetry_space_group_name_H-M 'F m m m'
_symmetry_Int_Tables_number 69
_symmetry_space_group_name_Hall '-F 2 2'
_cell_length_a 7.697
_cell_length_b 9.184
_cell_length_c 15.529
_cell_angle_alpha 90.00
_cell_angle_beta 90.00
_cell_angle_gamma 90.00
loop_
_atom_site_label
_atom_site_fract_x
_atom_site_fract_y
_atom_site_fract_z
La1 0.247 0.000 0.000
La2 0.250 0.250 0.250
Ga1 0.000 0.000 0.332
Pd1 0.000 0.000 0.170
Pd2 0.000 0.236 0.413
```

Properties
formation energy from the elements: -0.813 eV per atom


Record 2
A relaxed structure of LaGa2Pd2, computed with PBE-GGA.

Cell and atoms, written as CIF:
```
data_LaGa2Pd2
_symmetry_space_group_name_H-M 'P 4/m b m'
_symmetry_Int_Tables_number 127
_symmetry_space_group_name_Hall '-P 4 2ab'
_cell_length_a 7.902
_cell_length_b 7.902
_cell_length_c 3.007
_cell_angle_alpha 90.00
_cell_angle_beta 90.00
_cell_angle_gamma 90.00
loop_
_atom_site_label
_atom_site_fract_x
_atom_site_fract_y
_atom_site_fract_z
La1 0.000 0.000 0.000
Ga1 0.118 0.382 0.000
Pd1 0.179 0.679 0.500
```

Properties
formation energy from the elements: -0.541 eV per atom
relative energy among the computed polymorphs: 290.3 meV per atom


Record 3
A relaxed structure of LaGa12Pd6, computed with PBE-GGA.

Cell and atoms, written as CIF:
```
data_LaGa12Pd6
_symmetry_space_group_name_H-M 'R -3 m'
_symmetry_Int_Tables_number 166
_symmetry_space_group_name_Hall '-R 3 2"'
_cell_length_a 11.3744
_cell_length_b 11.3744
_cell_length_c 8.9834
_cell_angle_alpha 90.00
_cell_angle_beta 90.00
_cell_angle_gamma 120.00
loop_
_atom_site_label
_atom_site_fract_x
_atom_site_fract_y
_atom_site_fract_z
La1 0.0000 0.0000 0.0000
Ga1 0.0000 0.3895 0.5000
Ga2 0.0838 0.1677 0.3142
Pd1 0.0472 0.5236 0.2354
```

Properties
formation energy from the elements: -0.515 eV per atom


Record 4
A relaxed structure of LaGa7Pd5, computed with PBE-GGA.

Cell and atoms, written as CIF:
```
data_LaGa7Pd5
_symmetry_space_group_name_H-M 'I m m 2'
_symmetry_Int_Tables_number 44
_symmetry_space_group_name_Hall 'I 2 -2'
_cell_length_a 5.518
_cell_length_b 9.252
_cell_length_c 8.774
_cell_angle_alpha 90.00
_cell_angle_beta 90.00
_cell_angle_gamma 90.00
loop_
_atom_site_label
_atom_site_fract_x
_atom_site_fract_y
_atom_site_fract_z
La1 0.000 0.000 0.000
Ga1 0.000 0.000 0.347
Ga2 0.000 0.000 0.634
Ga3 0.000 0.300 0.507
Ga4 0.000 0.349 0.978
Ga5 0.000 0.500 0.253
Pd1 0.000 0.500 0.720
Pd2 0.248 0.268 0.248
```

Properties
formation energy from the elements: -0.605 eV per atom


Number 2 is which compound?
LaGa2Pd2